Entry 1:
Pr3Hg5Au2 | PBE | relaxed

Summary:
Formation energy in kJ per mole of atoms: -30.7
Fermi-level density of states in states/eV per cell: 28.37

Lattice parameters (Å, degrees): 12.0847 13.6255 6.5905 90.00 90.00 90.00
Space group Ibam (No. 72)
Inequivalent atoms, fractional coordinates:
Pr1 0.0000 0.0000 0.2500 (multiplicity 4)
Pr2 0.1176 0.2836 0.0000 (multiplicity 8)
Hg1 0.0000 0.5000 0.2500 (multiplicity 4)
Hg2 0.1468 0.3503 0.5000 (multiplicity 8)
Hg3 0.2463 0.5000 0.2500 (multiplicity 8)
Au1 0.1166 0.1506 0.5000 (multiplicity 8)



Entry 2:
Pr12Hg5Au2 | PBE | relaxed

Summary:
Formation energy in kJ per mole of atoms: -27.1
Fermi-level density of states in states/eV per cell: 47.69

Lattice parameters (Å, degrees): 17.6705 7.4013 9.2440 90.00 92.89 90.00
Space group C2/m (No. 12)
Inequivalent atoms, fractional coordinates:
Pr1 0.0071 0.0000 0.2993 (multiplicity 4)
Pr2 0.0445 0.5000 0.1895 (multiplicity 4)
Pr3 0.1506 0.2489 0.5166 (multiplicity 8)
Pr4 0.1632 0.2486 0.9318 (multiplicity 8)
Hg1 0.0000 0.5000 0.5000 (multiplicity 2)
Hg2 0.2106 0.0000 0.2439 (multiplicity 4)
Hg3 0.2289 0.5000 0.2598 (multiplicity 4)
Au1 0.0000 0.1881 0.0000 (multiplicity 4)



Entry 3:
PrHgAu2 | PBE | relaxed

Summary:
Formation energy in kJ per mole of atoms: -46.2
Fermi-level density of states in states/eV per cell: 2.25

Lattice parameters (Å, degrees): 3.7784 3.7784 6.6865 90.00 90.00 90.00
Space group P4/mmm (No. 123)
Inequivalent atoms, fractional coordinates:
Pr1 0.0000 0.0000 0.0000 (multiplicity 1)
Hg1 0.0000 0.0000 0.5000 (multiplicity 1)
Au1 0.5000 0.5000 0.2565 (multiplicity 2)



Entry 4:
PrHgAu | PBE | relaxed

Summary:
Formation energy in kJ per mole of atoms: -54.8
Fermi-level density of states in states/eV per cell: 1.68

Lattice parameters (Å, degrees): 3.9645 3.9645 9.6183 90.00 90.00 90.00
Space group I4mm (No. 107)
Inequivalent atoms, fractional coordinates:
Pr1 0.0000 0.0000 0.0000 (multiplicity 2)
Hg1 0.0000 0.0000 0.6750 (multiplicity 2)
Au1 0.0000 0.0000 0.3386 (multiplicity 2)



Entry 5:
Pr3Hg4Au2 | PBE | relaxed

Summary:
Formation energy in kJ per mole of atoms: -53.3
Fermi-level density of states in states/eV per cell: 11.06

Lattice parameters (Å, degrees): 11.1949 4.9631 9.2949 90.00 118.31 90.00
Space group C2/m (No. 12)
Inequivalent atoms, fractional coordinates:
Pr1 0.0000 0.0000 0.0000 (multiplicity 2)
Pr2 0.1705 0.5000 0.6595 (multiplicity 4)
Hg1 0.0496 0.0000 0.3815 (multiplicity 4)
Hg2 0.2191 0.5000 0.0569 (multiplicity 4)
Au1 0.1055 0.5000 0.2743 (multiplicity 4)



Entry 6:
PrHgAu | PBE | relaxed

Summary:
Formation energy in kJ per mole of atoms: -55.5
Fermi-level density of states in states/eV per cell: 2.07

Lattice parameters (Å, degrees): 5.5480 5.6443 5.5926 90.00 119.73 90.00
Space group P2_1/m (No. 11)
Inequivalent atoms, fractional coordinates:
Pr1 0.0334 0.2500 0.2662 (multiplicity 2)
Hg1 0.3639 0.2500 0.9282 (multiplicity 2)
Au1 0.3081 0.7500 0.4036 (multiplicity 2)